Compound: Ce2TmCd
Source: the Alexandria database
Functional: PBE
Structure: relaxed

Unit cell a=5.458 b=5.458 c=5.458 alpha=60.00 beta=60.00 gamma=60.00
Site moments in Bohr magnetons follow the coordinates.
Atoms (fractional coordinates):
Tm 0.000 0.000 0.000  0.35
Ce 0.250 0.250 0.250  0.89
Ce 0.750 0.750 0.750  0.89
Cd 0.500 0.500 0.500  -0.01

Properties
ΔH_f (0 K)	0.082	eV/atom
raw total energy	-4.232	eV/atom
space-group type	Fm-3m, No. 225
size of the total moment	2.62	μB/f.u.